Compound: Pa2TlCo2
Source: OQMD via LeMat-Bulk
Functional: PBE
Structure: relaxed

## Properties
Total moment in μB/f.u.: 0.00
ρ in Mg/m³: 12.9
Final energy in eV per atom: -7.411

```
data_Pa2TlCo2
_chemical_formula_sum 'Pa2 Tl1 Co2'
_cell_length_a 7.762
_cell_length_b 7.762
_cell_length_c 3.532
_cell_angle_alpha 90.00
_cell_angle_beta 90.00
_cell_angle_gamma 151.69
_symmetry_space_group_name_H-M 'P 1'
_symmetry_Int_Tables_number 1
_symmetry_space_group_name_Hall 'P 1'
loop_
_atom_site_label
_atom_site_fract_x
_atom_site_fract_y
_atom_site_fract_z
Co1 0.813 0.187 0.000
Co2 0.187 0.813 0.000
Pa1 0.649 0.351 0.500
Pa2 0.351 0.649 0.500
Tl1 0.000 0.000 0.000
```

=====

Compound: CsTmB4
Source: OQMD via LeMat-Bulk
Functional: PBE
Structure: relaxed

## Properties
Total moment in μB/f.u.: 0.00
ρ in Mg/m³: 6.9
Offset from the most stable computed form in eV/atom: 0.498

```
data_CsTmB4
_chemical_formula_sum 'Cs1 Tm1 B4'
_cell_length_a 5.678
_cell_length_b 5.678
_cell_length_c 5.678
_cell_angle_alpha 147.38
_cell_angle_beta 121.45
_cell_angle_gamma 68.65
_symmetry_space_group_name_H-M 'P 1'
_symmetry_Int_Tables_number 1
_symmetry_space_group_name_Hall 'P 1'
loop_
_atom_site_label
_atom_site_fract_x
_atom_site_fract_y
_atom_site_fract_z
B1 0.583 0.243 0.340
B2 0.097 0.757 0.340
B3 0.903 0.243 0.660
B4 0.417 0.757 0.660
Cs1 0.000 0.000 0.000
Tm1 0.500 0.500 0.000
```

=====

Compound: SrZrBePt
Source: OQMD via LeMat-Bulk
Functional: PBE
Structure: relaxed

## Properties
Total moment in μB/f.u.: 0.00
ρ in Mg/m³: 8.6
Offset from the most stable computed form in eV/atom: 0.000

```
data_SrZrBePt
_chemical_formula_sum 'Sr1 Zr1 Be1 Pt1'
_cell_length_a 4.720
_cell_length_b 4.720
_cell_length_c 4.720
_cell_angle_alpha 60.00
_cell_angle_beta 60.00
_cell_angle_gamma 60.00
_symmetry_space_group_name_H-M 'P 1'
_symmetry_Int_Tables_number 1
_symmetry_space_group_name_Hall 'P 1'
loop_
_atom_site_label
_atom_site_fract_x
_atom_site_fract_y
_atom_site_fract_z
Be1 0.750 0.750 0.750
Pt1 0.000 0.000 0.000
Sr1 0.500 0.500 0.500
Zr1 0.250 0.250 0.250
```

=====

Compound: KErBeS3
Source: OQMD via LeMat-Bulk
Functional: PBE
Structure: relaxed

## Properties
Total moment in μB/f.u.: 0.00
ρ in Mg/m³: 3.7
Final energy in eV per atom: -5.206

```
data_KErBeS3
_chemical_formula_sum 'K2 Er2 Be2 S6'
_cell_length_a 7.358
_cell_length_b 7.358
_cell_length_c 10.345
_cell_angle_alpha 90.00
_cell_angle_beta 90.00
_cell_angle_gamma 149.84
_symmetry_space_group_name_H-M 'P 1'
_symmetry_Int_Tables_number 1
_symmetry_space_group_name_Hall 'P 1'
loop_
_atom_site_label
_atom_site_fract_x
_atom_site_fract_y
_atom_site_fract_z
Be1 0.039 0.961 0.250
Be2 0.961 0.039 0.750
Er1 0.500 0.500 0.000
Er2 0.500 0.500 0.500
K1 0.758 0.242 0.250
K2 0.242 0.758 0.750
S1 0.119 0.881 0.081
S2 0.446 0.554 0.250
S3 0.119 0.881 0.419
S4 0.881 0.119 0.581
S5 0.554 0.446 0.750
S6 0.881 0.119 0.919
```

=====

Question: Which value of ρ does entry 4 give?
Answer: 3.7 Mg/m³

=====

Question: Which formula does entry 1 have?
Answer: Pa2TlCo2

=====

Question: Which of these has the lowest ρ?
Answer: KErBeS3